Compound: ScAsRu2
Source: Alexandria
Functional: PBE
Structure: relaxed

Total DFT energy (no corrections) in eV/atom: -7.8817
M_tot in Bohr magnetons per cell: 0.00

a b c (Å): 3.222 4.310 4.310
angles (deg): 90.00 90.00 90.00
Fractional positions:
Ru1 0.000 0.500 0.500
As1 0.500 0.000 0.500
Ru2 0.000 0.000 0.000
Sc1 0.500 0.500 0.000